DFT (PBE) results for an optimized crystal structure of HoTmGa2.

Summary:
* E: -32.79 eV/cell

abc: 5.1861 6.5965 6.5965
angles: 125.76 90.00 90.00
Sites, in units of the cell vectors:
Ga: 0.7500 0.8487 0.1819
Ga: 0.7500 0.8005 0.6790
Ga: 0.2500 0.6790 0.8005
Ga: 0.2500 0.1819 0.8487
Ho: 0.2500 0.7010 0.3255
Ho: 0.7500 0.3255 0.7010
Tm: 0.7500 0.3031 0.1603
Tm: 0.2500 0.1603 0.3031